(1)
HfBe2NiN | GGA-PBE | relaxed

Output
Formation energy (no corrections) ... 671 meV/atom

Cell lengths 3.683, 3.683, 4.932 Å; angles 90.00, 90.00, 90.00 degrees
Space group P4/mmm (No. 123)
Symmetry-distinct sites (fractional):
Hf  0.000  0.000  0.000 x1
Be  0.000  0.500  0.500 x2
Ni  0.000  0.000  0.500 x1
N  0.500  0.500  0.000 x1


(2)
ScFeSn2 | GGA-PBE | relaxed

Output
Formation enthalpy at 0 K ... 0.306 eV per atom

Cell lengths 4.163, 4.163, 19.795 Å; angles 90.00, 90.00, 90.00 degrees
Space group I-42d (No. 122)
Symmetry-distinct sites (fractional):
Sc  0.000  0.000  0.000 x4
Fe  0.000  0.000  0.500 x4
Sn  0.238  0.250  0.625 x8


(3)
Tm6Mn2Bi | GGA-PBE | relaxed

Output
Formation enthalpy at 0 K ... -0.161 eV per atom

Cell lengths 9.599, 9.613, 9.875 Å; angles 90.00, 90.00, 90.00 degrees
Space group Immm (No. 71)
Symmetry-distinct sites (fractional):
Tm  0.000  0.227  0.234 x8
Tm  0.203  0.500  0.188 x8
Tm  0.215  0.313  0.500 x8
Mn  0.000  0.389  0.000 x4
Mn  0.000  0.500  0.393 x4
Bi  0.000  0.000  0.000 x2
Bi  0.000  0.000  0.500 x2


(4)
LaTm2Ir | GGA-PBE | relaxed

Output
Formation enthalpy at 0 K ... -0.383 eV per atom
E above lowest polymorph ... 194 meV per atom

Cell lengths 3.9306, 3.9306, 27.6073 Å; angles 90.00, 90.00, 120.00 degrees
Space group R-3m (No. 166, hexagonal axes)
Symmetry-distinct sites (fractional):
La  0.0000  0.0000  0.0000 x3
Tm  0.0000  0.0000  0.2208 x6
Ir  0.0000  0.0000  0.5000 x3


(5)
CoP2OsCl | GGA-PBE | relaxed

Output
Formation energy (no corrections) ... 1138 meV/atom
E above lowest polymorph ... 187 meV per atom

Cell lengths 4.231, 4.231, 4.452 Å; angles 90.00, 90.00, 90.00 degrees
Space group P4/mmm (No. 123)
Symmetry-distinct sites (fractional):
Co  0.000  0.000  0.000 x1
P  0.000  0.500  0.000 x2
Os  0.500  0.500  0.500 x1
Cl  0.000  0.000  0.500 x1


(6)
Mg2AlFe | GGA-PBE | relaxed

Output
Formation enthalpy at 0 K ... 0.124 eV per atom

Cell lengths 3.845, 3.845, 8.750 Å; angles 90.00, 90.00, 90.00 degrees
Space group I4/mmm (No. 139)
Symmetry-distinct sites (fractional):
Mg  0.000  0.500  0.250 x4
Al  0.000  0.000  0.000 x2
Fe  0.000  0.000  0.500 x2


(7)
HfZrAl3 | GGA-PBE | relaxed

Output
Formation enthalpy at 0 K ... -0.073 eV per atom
E above lowest polymorph ... 0 meV per atom

Cell lengths 3.858, 3.858, 13.585 Å; angles 90.00, 90.00, 90.00 degrees
Space group I4mm (No. 107)
Symmetry-distinct sites (fractional):
Hf  0.000  0.000  0.000 x2
Zr  0.000  0.000  0.655 x2
Al  0.000  0.000  0.454 x2
Al  0.000  0.500  0.315 x4


(8)
CaScRu2Se | GGA-PBE | relaxed

Output
Formation energy (no corrections) ... 129 meV/atom

Cell lengths 4.682, 4.682, 4.870 Å; angles 90.00, 90.00, 90.00 degrees
Space group P4/mmm (No. 123)
Symmetry-distinct sites (fractional):
Ca  0.000  0.000  0.000 x1
Sc  0.500  0.500  0.000 x1
Ru  0.000  0.500  0.500 x2
Se  0.500  0.500  0.500 x1


(9)
Np4TcGe8 | GGA-PBE | relaxed

Output
Formation enthalpy at 0 K ... -0.059 eV per atom

Cell lengths 4.043, 4.204, 15.368 Å; angles 90.00, 90.00, 90.00 degrees
Space group Pmm2 (No. 25)
Symmetry-distinct sites (fractional):
Np  0.000  0.000  0.000 x1
Np  0.000  0.500  0.472 x1
Np  0.500  0.000  0.782 x1
Np  0.500  0.500  0.291 x1
Tc  0.000  0.500  0.696 x1
Ge  0.000  0.000  0.324 x1
Ge  0.000  0.000  0.606 x1
Ge  0.000  0.500  0.143 x1
Ge  0.000  0.500  0.855 x1
Ge  0.500  0.000  0.149 x1
Ge  0.500  0.000  0.448 x1
Ge  0.500  0.500  0.604 x1
Ge  0.500  0.500  0.964 x1


(10)
Zr2AlFeCl | GGA-PBE | relaxed

Output
Formation energy (no corrections) ... 73 meV/atom

Cell lengths 4.805, 4.805, 4.100 Å; angles 90.00, 90.00, 90.00 degrees
Space group P4/mmm (No. 123)
Symmetry-distinct sites (fractional):
Zr  0.000  0.500  0.000 x2
Al  0.000  0.000  0.500 x1
Fe  0.500  0.500  0.500 x1
Cl  0.500  0.500  0.000 x1


(11)
BaCoC2 | GGA-PBE | relaxed

Output
Formation enthalpy at 0 K ... 2.170 eV per atom

Cell lengths 6.198, 6.198, 6.198 Å; angles 90.00, 90.00, 90.00 degrees
Space group Fm-3m (No. 225)
Symmetry-distinct sites (fractional):
Ba  0.000  0.000  0.000 x4
Co  0.000  0.000  0.500 x4
C  0.250  0.250  0.250 x8


(12)
TaCdCl4 | GGA-PBE | relaxed

Output
Formation energy (no corrections) ... -937 meV/atom
E above lowest polymorph ... 0 meV per atom

Cell lengths 6.850, 18.276, 5.774 Å; angles 90.00, 115.89, 90.00 degrees
Space group C2/c (No. 15)
Symmetry-distinct sites (fractional):
Ta  0.000  0.044  0.250 x4
Cd  0.000  0.250  0.750 x4
Cl  0.230  0.136  0.520 x8
Cl  0.237  0.053  0.026 x8